Entry 1:
Density functional theory data (PBE) for a relaxed Sc3SnH3 crystal. Values from VASP.

Values from the calculation:
Size of the total moment in Bohr magnetons per cell: 0.0
E in eV per atom: -5.2546
Crystal system: trigonal

Quantum ESPRESSO input file:
```
&SYSTEM
  ibrav = 0, nat = 14, ntyp = 3
/
ATOMIC_SPECIES
Sc 44.96 Sc.upf
Sn 118.71 Sn.upf
H 1.01 H.upf
ATOMIC_POSITIONS angstrom
Sc 3.985 3.398 2.249
Sc 6.971 1.752 2.249
Sc 6.904 5.161 2.249
Sc 5.002 1.713 4.760
Sc 4.935 5.122 4.760
Sc 7.922 3.476 4.760
Sn 5.953 3.437 7.008
Sn 5.953 3.437 0.002
H 6.929 5.167 4.282
H 6.964 1.727 4.282
H 3.967 3.417 4.282
H 7.940 3.457 2.727
H 4.942 5.147 2.727
H 4.978 1.707 2.727
CELL_PARAMETERS angstrom
5.953 0.000 0.000
2.977 5.156 0.000
2.977 1.719 7.009
```

***

Entry 2:
Density functional theory data (PBE) for a relaxed Sc2SnH crystal. Values from VASP.

Values from the calculation:
Size of the total moment in Bohr magnetons per cell: 0.0
E in eV per atom: -5.1397
Crystal system: trigonal
Energy relative to the lowest polymorph listed for this composition in eV per formula unit: 1.99

Quantum ESPRESSO input file:
```
&SYSTEM
  ibrav = 0, nat = 4, ntyp = 3
/
ATOMIC_SPECIES
Sc 44.96 Sc.upf
H 1.01 H.upf
Sn 118.71 Sn.upf
ATOMIC_POSITIONS angstrom
Sc 11.975 -5.317 17.735
Sc 1.611 -0.715 2.386
H 6.793 -3.016 10.061
Sn 0.000 0.000 0.000
CELL_PARAMETERS angstrom
3.014 -2.898 7.464
5.746 -2.978 5.595
4.826 -0.156 7.062
```

***

Entry 3:
Density functional theory data (PBE) for a relaxed ScSnH crystal. Values from VASP.

Values from the calculation:
Size of the total moment in Bohr magnetons per cell: 0.0
E in eV per atom: -4.9634
Crystal system: orthorhombic
Energy relative to the lowest polymorph listed for this composition in eV per formula unit: 0.57

Quantum ESPRESSO input file:
```
&SYSTEM
  ibrav = 0, nat = 12, ntyp = 3
/
ATOMIC_SPECIES
Sc 44.96 Sc.upf
H 1.01 H.upf
Sn 118.71 Sn.upf
ATOMIC_POSITIONS angstrom
Sc 3.835 0.885 3.980
Sc 5.489 2.654 9.029
Sc 2.381 2.654 6.116
Sc 0.727 0.885 1.068
H 0.112 0.885 9.270
H 2.996 2.654 4.222
H 6.104 2.654 0.826
H 3.220 0.885 5.875
Sn 0.669 0.885 4.029
Sn 2.439 2.654 9.077
Sn 5.547 2.654 6.068
Sn 3.777 0.885 1.020
CELL_PARAMETERS angstrom
6.216 0.000 0.000
0.000 3.539 0.000
0.000 0.000 10.097
```

***

What is the size of the total moment in the third record?
0.0 Bohr magnetons per cell